1.
This record from the Alexandria database describes a relaxed structure of PrNdBr4. The functional is PBE-GGA.

Unit cell a=7.107 b=7.107 c=7.107 alpha=130.98 beta=130.98 gamma=71.84
Atoms (fractional coordinates):
Pr (0.000, 0.000, 0.000)
Nd (0.250, 0.750, 0.500)
Br (0.264, 0.264, 0.000)
Br (0.512, 0.012, 0.500)
Br (0.736, 0.736, 0.000)
Br (0.988, 0.488, 0.500)

Values from the calculation:
electronic total energy: -4.32 eV per atom
raw formation energy: -1612 meV per atom

2.
This record from the Alexandria database describes a relaxed structure of ZrNi. The functional is PBE-GGA.

Unit cell a=6.050 b=6.050 c=6.050 alpha=97.39 beta=97.39 gamma=137.97
Atoms (fractional coordinates):
Zr (0.000, 0.294, 0.294)
Zr (0.000, 0.706, 0.706)
Zr (0.294, 0.000, 0.294)
Zr (0.706, 0.000, 0.706)
Ni (0.333, 0.333, 0.666)
Ni (0.333, 0.667, 0.000)
Ni (0.667, 0.333, 0.000)
Ni (0.667, 0.667, 0.334)

Values from the calculation:
electronic total energy: -7.41 eV per atom
ΔH_f (0 K): -247 meV per atom

3.
This record from the Alexandria database describes a relaxed structure of NaTa2MoCl. The functional is PBE-GGA.

Unit cell a=4.836 b=4.836 c=5.526 alpha=90.00 beta=90.00 gamma=90.00
Atoms (fractional coordinates):
Na (0.000, 0.000, 0.000)
Ta (0.000, 0.500, 0.500)
Ta (0.500, 0.000, 0.500)
Mo (0.500, 0.500, 0.500)
Cl (0.500, 0.500, 0.000)

Values from the calculation:
electronic total energy: -6.31 eV per atom
raw formation energy: 1228 meV per atom

4.
This record from the Alexandria database describes a relaxed structure of CrAg2W. The functional is PBE-GGA.

Unit cell a=5.772 b=5.772 c=5.772 alpha=101.20 beta=101.20 gamma=127.70
Atoms (fractional coordinates):
Cr (0.000, 0.000, 0.000)
Cr (0.750, 0.250, 0.500)
Ag (0.107, 0.625, 0.982)
Ag (0.375, 0.357, 0.482)
Ag (0.643, 0.125, 0.018)
Ag (0.875, 0.893, 0.518)
W (0.250, 0.750, 0.500)
W (0.500, 0.500, 0.000)

Values from the calculation:
electronic total energy: -5.72 eV per atom
ΔH_f (0 K): 1355 meV per atom

5.
This record from the Alexandria database describes a relaxed structure of Pm5Ho12Er2. The functional is PBE-GGA.

Unit cell a=9.947 b=9.947 c=8.645 alpha=112.53 beta=112.53 gamma=53.88
Atoms (fractional coordinates):
Pm (0.000, 0.000, 0.000)
Pm (0.237, 0.237, 0.789)
Pm (0.289, 0.289, 0.276)
Pm (0.711, 0.711, 0.724)
Pm (0.763, 0.763, 0.211)
Ho (0.041, 0.669, 0.597)
Ho (0.045, 0.045, 0.682)
Ho (0.148, 0.596, 0.045)
Ho (0.331, 0.959, 0.403)
Ho (0.404, 0.852, 0.955)
Ho (0.441, 0.441, 0.786)
Ho (0.559, 0.559, 0.214)
Ho (0.596, 0.148, 0.045)
Ho (0.669, 0.041, 0.597)
Ho (0.852, 0.404, 0.955)
Ho (0.955, 0.955, 0.318)
Ho (0.959, 0.331, 0.403)
Er (0.327, 0.673, 0.500)
Er (0.673, 0.327, 0.500)

Values from the calculation:
electronic total energy: -4.40 eV per atom
ΔH_f (0 K): 217 meV per atom

6.
This record from the Alexandria database describes a relaxed structure of NaLi3Br. The functional is PBE-GGA.

Unit cell a=5.158 b=5.158 c=5.158 alpha=90.00 beta=90.00 gamma=90.00
Atoms (fractional coordinates):
Na (0.000, 0.000, 0.000)
Li (0.000, 0.500, 0.500)
Li (0.500, 0.000, 0.500)
Li (0.500, 0.500, 0.000)
Br (0.500, 0.500, 0.500)

Values from the calculation:
electronic total energy: -2.13 eV per atom
raw formation energy: -383 meV per atom